Entry 1:
## TaW (PBEsol)

Data for a relaxed TaW crystal.

```
data_TaW
_cell_length_a 10.1693
_cell_length_b 3.1948
_cell_length_c 6.4480
_cell_angle_alpha 90.00
_cell_angle_beta 109.14
_cell_angle_gamma 90.00
_space_group_name_H-M_alt 'P 1'
_space_group_IT_number 1
loop_
_space_group_symop_operation_xyz
'x,y,z'
loop_
_atom_site_label
_atom_site_fract_x
_atom_site_fract_y
_atom_site_fract_z
_atom_site_occupancy
Ta1 0.0000 0.0000 0.0000 1
Ta2 0.1674 0.5000 0.8269 1
Ta3 0.3326 0.0000 0.1731 1
Ta4 0.5000 0.5000 0.0000 1
Ta5 0.6674 0.0000 0.8269 1
Ta6 0.8326 0.5000 0.1731 1
W1 0.0000 0.0000 0.5000 1
W2 0.1661 0.5000 0.3388 1
W3 0.3339 0.0000 0.6612 1
W4 0.5000 0.5000 0.5000 1
W5 0.6661 0.0000 0.3388 1
W6 0.8339 0.5000 0.6612 1
```

- D(E_F): 0.694 states/eV per atom
- E_form: -0.076 eV per atom
- Magnetization: 0.000 μB per cell
- Space group: C2/m, No. 12

---

Entry 2:
## TiCuF2 (PBEsol)

Data for a relaxed TiCuF2 crystal.

```
data_TiCuF2
_cell_length_a 5.6173
_cell_length_b 5.6173
_cell_length_c 5.6173
_cell_angle_alpha 90.00
_cell_angle_beta 90.00
_cell_angle_gamma 90.00
_space_group_name_H-M_alt 'P 1'
_space_group_IT_number 1
loop_
_space_group_symop_operation_xyz
'x,y,z'
loop_
_atom_site_label
_atom_site_fract_x
_atom_site_fract_y
_atom_site_fract_z
_atom_site_occupancy
Ti1 0.0000 0.0000 0.0000 1
Ti2 0.0000 0.5000 0.5000 1
Ti3 0.5000 0.0000 0.5000 1
Ti4 0.5000 0.5000 0.0000 1
Cu1 0.0000 0.0000 0.5000 1
Cu2 0.0000 0.5000 0.0000 1
Cu3 0.5000 0.0000 0.0000 1
Cu4 0.5000 0.5000 0.5000 1
F1 0.2500 0.2500 0.2500 1
F2 0.2500 0.2500 0.7500 1
F3 0.2500 0.7500 0.2500 1
F4 0.2500 0.7500 0.7500 1
F5 0.7500 0.2500 0.2500 1
F6 0.7500 0.2500 0.7500 1
F7 0.7500 0.7500 0.2500 1
F8 0.7500 0.7500 0.7500 1
```

- D(E_F): 0.512 states/eV per atom
- E_tot: -5.170 eV/atom
- Magnetization: 4.193 μB per cell
- Space group: Fm-3m, No. 225

---

Entry 3:
## ZrTlIr2 (PBEsol)

Data for a relaxed ZrTlIr2 crystal.

```
data_ZrTlIr2
_cell_length_a 6.5201
_cell_length_b 6.5201
_cell_length_c 6.5201
_cell_angle_alpha 90.00
_cell_angle_beta 90.00
_cell_angle_gamma 90.00
_space_group_name_H-M_alt 'P 1'
_space_group_IT_number 1
loop_
_space_group_symop_operation_xyz
'x,y,z'
loop_
_atom_site_label
_atom_site_fract_x
_atom_site_fract_y
_atom_site_fract_z
_atom_site_occupancy
Zr1 0.0000 0.0000 0.0000 1
Zr2 0.0000 0.5000 0.5000 1
Zr3 0.5000 0.0000 0.5000 1
Zr4 0.5000 0.5000 0.0000 1
Tl1 0.0000 0.0000 0.5000 1
Tl2 0.0000 0.5000 0.0000 1
Tl3 0.5000 0.0000 0.0000 1
Tl4 0.5000 0.5000 0.5000 1
Ir1 0.2500 0.2500 0.2500 1
Ir2 0.2500 0.2500 0.7500 1
Ir3 0.2500 0.7500 0.2500 1
Ir4 0.2500 0.7500 0.7500 1
Ir5 0.7500 0.2500 0.2500 1
Ir6 0.7500 0.2500 0.7500 1
Ir7 0.7500 0.7500 0.2500 1
Ir8 0.7500 0.7500 0.7500 1
```

- D(E_F): 1.207 states/eV per atom
- E_form: -0.230 eV per atom
- Magnetization: 0.041 μB per cell
- Space group: Fm-3m, No. 225

---

Entry 4:
## Li3InPb (PBEsol)

Data for a relaxed Li3InPb crystal.

```
data_Li3InPb
_cell_length_a 5.1373
_cell_length_b 5.1373
_cell_length_c 5.1373
_cell_angle_alpha 90.00
_cell_angle_beta 90.00
_cell_angle_gamma 90.00
_space_group_name_H-M_alt 'P 1'
_space_group_IT_number 1
loop_
_space_group_symop_operation_xyz
'x,y,z'
loop_
_atom_site_label
_atom_site_fract_x
_atom_site_fract_y
_atom_site_fract_z
_atom_site_occupancy
Li1 0.0000 0.0000 0.5000 1
Li2 0.0000 0.5000 0.0000 1
Li3 0.5000 0.0000 0.0000 1
In1 0.5000 0.5000 0.5000 1
Pb1 0.0000 0.0000 0.0000 1
```

- D(E_F): 0.527 states/eV per atom
- E_form: 0.099 eV per atom
- Magnetization: 0.000 μB per cell
- Space group: Pm-3m, No. 221

---

Entry 5:
## KIr2Au (PBEsol)

Data for a relaxed KIr2Au crystal.

```
data_KIr2Au
_cell_length_a 2.7410
_cell_length_b 3.7965
_cell_length_c 7.7248
_cell_angle_alpha 90.00
_cell_angle_beta 90.00
_cell_angle_gamma 90.00
_space_group_name_H-M_alt 'P 1'
_space_group_IT_number 1
loop_
_space_group_symop_operation_xyz
'x,y,z'
loop_
_atom_site_label
_atom_site_fract_x
_atom_site_fract_y
_atom_site_fract_z
_atom_site_occupancy
K1 0.0000 0.0000 0.0000 1
Ir1 0.0000 0.0000 0.5446 1
Ir2 0.5000 0.5000 0.6706 1
Au1 0.5000 0.5000 0.3095 1
```

- D(E_F): 0.793 states/eV per atom
- E_form: 0.383 eV per atom
- Magnetization: 0.000 μB per cell
- Energy above the most stable polymorph in this dataset: 0 meV per atom
- Space group: Pmm2, No. 25

---

Entry 6:
## Mn2MoCl (PBEsol)

Data for a relaxed Mn2MoCl crystal.

```
data_Mn2MoCl
_cell_length_a 2.8715
_cell_length_b 2.8715
_cell_length_c 6.8304
_cell_angle_alpha 90.00
_cell_angle_beta 90.00
_cell_angle_gamma 90.00
_space_group_name_H-M_alt 'P 1'
_space_group_IT_number 1
loop_
_space_group_symop_operation_xyz
'x,y,z'
loop_
_atom_site_label
_atom_site_fract_x
_atom_site_fract_y
_atom_site_fract_z
_atom_site_occupancy
Mn1 0.0000 0.0000 0.0000 1
Mn2 0.5000 0.5000 0.2319 1
Mo1 0.5000 0.5000 0.7991 1
Cl1 0.0000 0.0000 0.5122 1
```

- D(E_F): 0.763 states/eV per atom
- Magnetization: 3.614 μB per cell
- Energy above the most stable polymorph in this dataset: 0 meV per atom
- Space group: P4mm, No. 99

---

Entry 7:
## Rb3InS3 (PBEsol)

Data for a relaxed Rb3InS3 crystal.

```
data_Rb3InS3
_cell_length_a 8.0869
_cell_length_b 8.0869
_cell_length_c 7.8352
_cell_angle_alpha 96.25
_cell_angle_beta 96.25
_cell_angle_gamma 113.24
_space_group_name_H-M_alt 'P 1'
_space_group_IT_number 1
loop_
_space_group_symop_operation_xyz
'x,y,z'
loop_
_atom_site_label
_atom_site_fract_x
_atom_site_fract_y
_atom_site_fract_z
_atom_site_occupancy
Rb1 0.1779 0.8221 0.0000 1
Rb2 0.2438 0.7562 0.5000 1
Rb3 0.3878 0.3878 0.1458 1
Rb4 0.6122 0.6122 0.8542 1
Rb5 0.7562 0.2438 0.5000 1
Rb6 0.8221 0.1779 0.0000 1
In1 0.1773 0.1773 0.6482 1
In2 0.8227 0.8227 0.3518 1
S1 0.1007 0.1007 0.3205 1
S2 0.1548 0.4516 0.7775 1
S3 0.4516 0.1548 0.7775 1
S4 0.5484 0.8452 0.2225 1
S5 0.8452 0.5484 0.2225 1
S6 0.8993 0.8993 0.6795 1
```

- D(E_F): 0.000 states/eV per atom
- E_tot: -3.805 eV/atom
- Magnetization: 0.002 μB per cell
- Space group: C2/m, No. 12

---

Entry 8:
## SrMg2In (PBEsol)

Data for a relaxed SrMg2In crystal.

```
data_SrMg2In
_cell_length_a 11.5618
_cell_length_b 4.1151
_cell_length_c 5.3668
_cell_angle_alpha 90.00
_cell_angle_beta 117.45
_cell_angle_gamma 90.00
_space_group_name_H-M_alt 'P 1'
_space_group_IT_number 1
loop_
_space_group_symop_operation_xyz
'x,y,z'
loop_
_atom_site_label
_atom_site_fract_x
_atom_site_fract_y
_atom_site_fract_z
_atom_site_occupancy
Sr1 0.0000 0.0000 0.0000 1
Sr2 0.5000 0.5000 0.0000 1
Mg1 0.2254 0.0000 0.7247 1
Mg2 0.2746 0.5000 0.2753 1
Mg3 0.7254 0.5000 0.7247 1
Mg4 0.7746 0.0000 0.2753 1
In1 0.0000 0.5000 0.5000 1
In2 0.5000 0.0000 0.5000 1
```

- D(E_F): 0.507 states/eV per atom
- E_form: -0.120 eV per atom
- Magnetization: 0.000 μB per cell
- Space group: C2/m, No. 12

---

Entry 9:
## Re2NiPt (PBEsol)

Data for a relaxed Re2NiPt crystal.

```
data_Re2NiPt
_cell_length_a 4.1112
_cell_length_b 2.6187
_cell_length_c 10.1414
_cell_angle_alpha 90.00
_cell_angle_beta 90.00
_cell_angle_gamma 90.00
_space_group_name_H-M_alt 'P 1'
_space_group_IT_number 1
loop_
_space_group_symop_operation_xyz
'x,y,z'
loop_
_atom_site_label
_atom_site_fract_x
_atom_site_fract_y
_atom_site_fract_z
_atom_site_occupancy
Re1 0.0000 0.0000 0.0000 1
Re2 0.0000 0.5000 0.5000 1
Re3 0.5000 0.0000 0.3581 1
Re4 0.5000 0.5000 0.8581 1
Ni1 0.5000 0.0000 0.6022 1
Ni2 0.5000 0.5000 0.1022 1
Pt1 0.0000 0.0000 0.7368 1
Pt2 0.0000 0.5000 0.2368 1
```

- D(E_F): 0.709 states/eV per atom
- E_form: -0.037 eV per atom
- Magnetization: 0.001 μB per cell
- Energy above the most stable polymorph in this dataset: 0 meV per atom
- Space group: Amm2, No. 38

---

Entry 10:
## MnCoAu2 (PBEsol)

Data for a relaxed MnCoAu2 crystal.

```
data_MnCoAu2
_cell_length_a 6.1558
_cell_length_b 6.1558
_cell_length_c 6.1558
_cell_angle_alpha 90.00
_cell_angle_beta 90.00
_cell_angle_gamma 90.00
_space_group_name_H-M_alt 'P 1'
_space_group_IT_number 1
loop_
_space_group_symop_operation_xyz
'x,y,z'
loop_
_atom_site_label
_atom_site_fract_x
_atom_site_fract_y
_atom_site_fract_z
_atom_site_occupancy
Mn1 0.0000 0.0000 0.0000 1
Mn2 0.0000 0.5000 0.5000 1
Mn3 0.5000 0.0000 0.5000 1
Mn4 0.5000 0.5000 0.0000 1
Co1 0.2500 0.2500 0.7500 1
Co2 0.2500 0.7500 0.2500 1
Co3 0.7500 0.2500 0.2500 1
Co4 0.7500 0.7500 0.7500 1
Au1 0.0000 0.0000 0.5000 1
Au2 0.0000 0.5000 0.0000 1
Au3 0.2500 0.2500 0.2500 1
Au4 0.2500 0.7500 0.7500 1
Au5 0.5000 0.0000 0.0000 1
Au6 0.5000 0.5000 0.5000 1
Au7 0.7500 0.2500 0.7500 1
Au8 0.7500 0.7500 0.2500 1
```

- D(E_F): 1.172 states/eV per atom
- E_form: 0.229 eV per atom
- Magnetization: 20.819 μB per cell
- Space group: F-43m, No. 216